# 1
Entry from the Alexandria database: an optimized crystal structure of DyHo4Er5 (PBE).

a b c (Å): 6.231 7.782 7.782
angles (deg): 80.78 66.40 66.40
Element x y z (fractional)
Er 0.183 0.912 0.623
Er 0.095 0.623 0.088
Er 0.718 0.088 0.377
Er 0.681 0.000 0.000
Er 0.806 0.377 0.912
Ho 0.105 0.298 0.395
Ho 0.798 0.702 0.605
Ho 0.403 0.395 0.702
Ho 0.500 0.605 0.298
Dy 0.221 0.000 0.000

VASP energy (eV per atom): -4.261
Fermi-level density of states (states/eV per atom): 1.379
Excess energy over the best structure of this formula in the dataset (meV per atom): 252
ΔE_f (meV/atom): 311.4
Space-group type: I4



# 2
Entry from the Alexandria database: an optimized crystal structure of DyHoEr3 (PBE).

a b c (Å): 9.283 6.067 6.079
angles (deg): 80.28 102.59 71.04
Element x y z (fractional)
Er 0.950 0.600 0.750
Er 0.150 0.000 0.751
Er 0.850 0.400 0.250
Er 0.450 0.600 0.250
Er 0.050 0.800 0.250
Er 0.550 0.800 0.750
Ho 0.350 0.400 0.749
Ho 0.650 0.000 0.250
Dy 0.750 0.200 0.750
Dy 0.250 0.200 0.250

VASP energy (eV per atom): -4.551
Fermi-level density of states (states/eV per atom): 1.414
Excess energy over the best structure of this formula in the dataset (meV per atom): 3
ΔE_f (meV/atom): 22.5
Space-group type: P-1



# 3
Entry from the Alexandria database: an optimized crystal structure of Dy3Ho4Er8 (PBE).

a b c (Å): 6.850 6.850 12.260
angles (deg): 73.78 73.78 60.00
Element x y z (fractional)
Er 0.249 0.752 0.749
Er 0.248 0.751 0.251
Er 0.755 0.755 0.736
Er 0.245 0.245 0.264
Er 0.751 0.248 0.251
Er 0.752 0.249 0.749
Er 0.249 0.249 0.749
Er 0.751 0.751 0.251
Ho 0.500 0.500 0.500
Ho 0.664 0.664 0.009
Ho 0.336 0.336 0.991
Ho 0.000 0.000 0.000
Dy 0.500 0.000 0.500
Dy 0.000 0.500 0.500
Dy 0.000 0.000 0.500

VASP energy (eV per atom): -4.427
Fermi-level density of states (states/eV per atom): 1.480
Excess energy over the best structure of this formula in the dataset (meV per atom): 0
ΔE_f (meV/atom): 147.5
Space-group type: R-3m